No. 1
! PBE Sn2Sb, optimized geometry; values from VASP
&SYSTEM
  ibrav = 0, nat = 3, ntyp = 2
/
ATOMIC_SPECIES
Sn 118.71 Sn.upf
Sb 121.76 Sb.upf
ATOMIC_POSITIONS crystal
Sn 0.159 0.159 0.309
Sn 0.841 0.841 0.691
Sb 0.500 0.500 0.000
CELL_PARAMETERS angstrom
3.797 0.011 -0.020
0.011 3.797 -0.020
-1.935 -1.935 5.826
! Energy above the lowest structure with this stoichiometry: 0.000 eV per formula unit
! Uncorrected formation energy: 84 meV/atom
! N(E_F): 1.39 states/eV per cell

No. 2
! PBE Sn3Sb, optimized geometry; values from VASP
&SYSTEM
  ibrav = 0, nat = 4, ntyp = 2
/
ATOMIC_SPECIES
Sn 118.71 Sn.upf
Sb 121.76 Sb.upf
ATOMIC_POSITIONS crystal
Sn 0.500 0.000 0.500
Sn 0.500 0.500 0.000
Sb 0.000 0.000 0.000
Sn 0.000 0.500 0.500
CELL_PARAMETERS angstrom
4.819 0.000 0.000
0.000 4.819 0.000
0.000 0.000 4.819
! Uncorrected formation energy: 102 meV/atom
! N(E_F): 2.41 states/eV per cell

No. 3
! PBE Sn4Sb, optimized geometry; values from VASP
&SYSTEM
  ibrav = 0, nat = 5, ntyp = 2
/
ATOMIC_SPECIES
Sn 118.71 Sn.upf
Sb 121.76 Sb.upf
ATOMIC_POSITIONS crystal
Sn 0.333 0.333 0.845
Sb 0.000 0.000 0.000
Sn 0.667 0.667 0.447
Sn 0.333 0.333 0.553
Sn 0.667 0.667 0.155
CELL_PARAMETERS angstrom
4.592 0.000 0.000
2.296 3.977 0.000
0.000 0.000 9.999
! Energy above the lowest structure with this stoichiometry: 0.000 eV per formula unit
! Uncorrected formation energy: 141 meV/atom
! N(E_F): 1.57 states/eV per cell

No. 4
! PBE Sn3Sb, optimized geometry; values from VASP
&SYSTEM
  ibrav = 0, nat = 4, ntyp = 2
/
ATOMIC_SPECIES
Sn 118.71 Sn.upf
Sb 121.76 Sb.upf
ATOMIC_POSITIONS crystal
Sn 0.750 0.250 0.500
Sn 0.500 0.500 0.000
Sb 0.000 0.000 0.000
Sn 0.250 0.750 0.500
CELL_PARAMETERS angstrom
-3.371 -2.249 -2.554
0.254 -3.751 2.968
-1.884 4.981 2.592
! Uncorrected formation energy: 100 meV/atom
! N(E_F): 2.37 states/eV per cell

No. 5
! PBE SnSb2, optimized geometry; values from VASP
&SYSTEM
  ibrav = 0, nat = 6, ntyp = 2
/
ATOMIC_SPECIES
Sb 121.76 Sb.upf
Sn 118.71 Sn.upf
ATOMIC_POSITIONS crystal
Sb 0.838 0.588 0.676
Sn 0.328 0.078 0.656
Sn 0.672 0.922 0.344
Sb 0.162 0.412 0.324
Sb 0.002 0.252 0.005
Sb 0.998 0.748 0.995
CELL_PARAMETERS angstrom
-2.902 0.329 1.392
0.481 -5.510 2.308
5.201 6.078 5.646
! Energy above the lowest structure with this stoichiometry: 0.000 eV per formula unit
! Uncorrected formation energy: 113 meV/atom
! N(E_F): 2.79 states/eV per cell

No. 6
! PBE Sn2Sb, optimized geometry; values from VASP
&SYSTEM
  ibrav = 0, nat = 6, ntyp = 2
/
ATOMIC_SPECIES
Sb 121.76 Sb.upf
Sn 118.71 Sn.upf
ATOMIC_POSITIONS crystal
Sb 0.250 0.250 0.250
Sn 0.625 0.125 0.625
Sb 0.000 0.000 0.000
Sn 0.125 0.625 0.625
Sn 0.625 0.625 0.625
Sn 0.625 0.625 0.125
CELL_PARAMETERS angstrom
-0.127 6.184 -0.949
-4.100 2.462 -4.035
-4.817 3.391 2.111
! Energy above the lowest structure with this stoichiometry: 0.674 eV per formula unit
! Uncorrected formation energy: 309 meV/atom
! N(E_F): 5.44 states/eV per cell

No. 7
! PBE SnSb2, optimized geometry; values from VASP
&SYSTEM
  ibrav = 0, nat = 3, ntyp = 2
/
ATOMIC_SPECIES
Sn 118.71 Sn.upf
Sb 121.76 Sb.upf
ATOMIC_POSITIONS crystal
Sn 0.500 0.500 0.000
Sb 0.829 0.829 0.650
Sb 0.171 0.171 0.350
CELL_PARAMETERS angstrom
-2.480 -2.814 -0.830
0.862 0.105 -3.742
4.875 -2.396 3.195
! Energy above the lowest structure with this stoichiometry: 0.101 eV per formula unit
! Uncorrected formation energy: 147 meV/atom
! N(E_F): 1.52 states/eV per cell

No. 8
! PBE Sn4Sb3, optimized geometry; values from VASP
&SYSTEM
  ibrav = 0, nat = 7, ntyp = 2
/
ATOMIC_SPECIES
Sb 121.76 Sb.upf
Sn 118.71 Sn.upf
ATOMIC_POSITIONS crystal
Sb 0.750 0.250 0.500
Sn 0.500 0.000 0.000
Sn 0.752 0.752 0.505
Sb 0.000 0.000 0.000
Sn 0.248 0.248 0.495
Sn 0.000 0.500 0.000
Sb 0.250 0.750 0.500
CELL_PARAMETERS angstrom
-1.737 -5.450 -2.195
5.455 -0.646 -2.714
0.335 0.310 7.516
! Uncorrected formation energy: 144 meV/atom
! N(E_F): 3.05 states/eV per cell

No. 9
! PBE SnSb2, optimized geometry; values from VASP
&SYSTEM
  ibrav = 0, nat = 6, ntyp = 2
/
ATOMIC_SPECIES
Sb 121.76 Sb.upf
Sn 118.71 Sn.upf
ATOMIC_POSITIONS crystal
Sb 0.125 0.625 0.625
Sb 0.625 0.125 0.625
Sn 0.250 0.250 0.250
Sb 0.625 0.625 0.125
Sb 0.625 0.625 0.625
Sn 0.000 0.000 0.000
CELL_PARAMETERS angstrom
6.304 0.000 0.000
3.152 5.460 0.000
3.152 1.820 5.147
! Energy above the lowest structure with this stoichiometry: 0.576 eV per formula unit
! Uncorrected formation energy: 305 meV/atom
! N(E_F): 3.74 states/eV per cell

No. 10
! PBE Sn6Sb5, optimized geometry; values from VASP
&SYSTEM
  ibrav = 0, nat = 11, ntyp = 2
/
ATOMIC_SPECIES
Sb 121.76 Sb.upf
Sn 118.71 Sn.upf
ATOMIC_POSITIONS crystal
Sb 0.500 0.500 0.000
Sn 0.263 0.911 0.352
Sn 0.756 0.733 0.000
Sn 0.737 0.089 0.648
Sb 0.000 0.667 0.333
Sb 0.000 0.333 0.667
Sb 0.500 0.164 0.328
Sn 0.244 0.267 0.000
Sn 0.263 0.559 0.648
Sn 0.737 0.441 0.352
Sb 0.500 0.836 0.672
CELL_PARAMETERS angstrom
7.461 0.266 -1.064
1.796 6.470 -3.647
-0.177 -0.150 7.652
! Uncorrected formation energy: 67 meV/atom
! N(E_F): 6.34 states/eV per cell

No. 11
! PBE Sn2Sb, optimized geometry; values from VASP
&SYSTEM
  ibrav = 0, nat = 6, ntyp = 2
/
ATOMIC_SPECIES
Sb 121.76 Sb.upf
Sn 118.71 Sn.upf
ATOMIC_POSITIONS crystal
Sb 0.750 0.250 0.500
Sb 0.000 0.000 0.000
Sn 0.918 0.418 0.836
Sn 0.168 0.168 0.336
Sn 0.832 0.832 0.664
Sn 0.582 0.082 0.164
CELL_PARAMETERS angstrom
0.578 0.261 -4.516
3.220 -0.970 -3.079
-6.626 -11.284 2.520
! Energy above the lowest structure with this stoichiometry: 0.032 eV per formula unit
! Uncorrected formation energy: 95 meV/atom
! N(E_F): 2.69 states/eV per cell

No. 12
! PBE SnSb3, optimized geometry; values from VASP
&SYSTEM
  ibrav = 0, nat = 4, ntyp = 2
/
ATOMIC_SPECIES
Sb 121.76 Sb.upf
Sn 118.71 Sn.upf
ATOMIC_POSITIONS crystal
Sb 0.500 0.500 0.304
Sn 0.500 0.000 0.885
Sb 0.000 0.500 0.364
Sb 0.000 0.000 0.780
CELL_PARAMETERS angstrom
-2.509 4.020 3.759
2.030 -1.900 3.387
3.700 2.874 -0.604
! Energy above the lowest structure with this stoichiometry: 0.000 eV per formula unit
! Uncorrected formation energy: 14 meV/atom
! N(E_F): 0.92 states/eV per cell

No. 13
! PBE Sn3Sb, optimized geometry; values from VASP
&SYSTEM
  ibrav = 0, nat = 4, ntyp = 2
/
ATOMIC_SPECIES
Sn 118.71 Sn.upf
Sb 121.76 Sb.upf
ATOMIC_POSITIONS crystal
Sn 0.500 0.500 0.834
Sn 0.000 0.500 0.334
Sn 0.000 0.000 0.333
Sb 0.500 0.000 0.833
CELL_PARAMETERS angstrom
-2.994 1.418 2.823
-3.496 -4.973 -1.209
1.996 -2.185 3.215
! Uncorrected formation energy: 31 meV/atom
! N(E_F): 1.76 states/eV per cell

No. 14
! PBE Sn3Sb, optimized geometry; values from VASP
&SYSTEM
  ibrav = 0, nat = 4, ntyp = 2
/
ATOMIC_SPECIES
Sb 121.76 Sb.upf
Sn 118.71 Sn.upf
ATOMIC_POSITIONS crystal
Sb 0.500 0.500 0.500
Sn 0.250 0.250 0.250
Sn 0.000 0.000 0.000
Sn 0.750 0.750 0.750
CELL_PARAMETERS angstrom
-1.787 -2.687 -4.293
-1.570 -5.112 0.494
-5.205 -1.262 -0.403
! Uncorrected formation energy: 69 meV/atom
! N(E_F): 1.03 states/eV per cell

No. 15
! PBE SnSb4, optimized geometry; values from VASP
&SYSTEM
  ibrav = 0, nat = 5, ntyp = 2
/
ATOMIC_SPECIES
Sb 121.76 Sb.upf
Sn 118.71 Sn.upf
ATOMIC_POSITIONS crystal
Sb 0.500 0.000 0.500
Sb 0.000 0.000 0.000
Sb 0.500 0.500 0.000
Sn 0.500 0.500 0.500
Sb 0.000 0.500 0.500
CELL_PARAMETERS angstrom
5.602 0.000 0.000
0.000 5.602 0.000
0.000 0.000 5.602
! Uncorrected formation energy: 826 meV/atom
! N(E_F): 6.01 states/eV per cell

No. 16
! PBE Sn3Sb, optimized geometry; values from VASP
&SYSTEM
  ibrav = 0, nat = 4, ntyp = 2
/
ATOMIC_SPECIES
Sb 121.76 Sb.upf
Sn 118.71 Sn.upf
ATOMIC_POSITIONS crystal
Sb 0.981 0.166 0.000
Sn 0.722 0.916 0.497
Sn 0.224 0.418 0.503
Sn 0.573 0.666 0.000
CELL_PARAMETERS angstrom
3.305 0.010 0.000
0.020 5.594 0.000
-1.662 -2.802 6.164
! Uncorrected formation energy: 45 meV/atom
! N(E_F): 1.66 states/eV per cell

No. 17
! PBE Sn3Sb, optimized geometry; values from VASP
&SYSTEM
  ibrav = 0, nat = 4, ntyp = 2
/
ATOMIC_SPECIES
Sn 118.71 Sn.upf
Sb 121.76 Sb.upf
ATOMIC_POSITIONS crystal
Sn 0.500 0.000 0.250
Sn 0.000 0.500 0.750
Sb 0.500 0.500 0.000
Sn 0.000 0.000 0.500
CELL_PARAMETERS angstrom
4.491 0.041 0.000
-3.351 2.991 0.000
0.000 0.000 8.436
! Uncorrected formation energy: 51 meV/atom
! N(E_F): 2.66 states/eV per cell

No. 18
! PBE Sn4Sb, optimized geometry; values from VASP
&SYSTEM
  ibrav = 0, nat = 5, ntyp = 2
/
ATOMIC_SPECIES
Sn 118.71 Sn.upf
Sb 121.76 Sb.upf
ATOMIC_POSITIONS crystal
Sn 0.500 0.000 0.500
Sb 0.500 0.500 0.500
Sn 0.500 0.500 0.000
Sn 0.000 0.500 0.500
Sn 0.000 0.000 0.000
CELL_PARAMETERS angstrom
-5.545 -1.043 0.798
1.307 -4.726 2.903
0.130 3.008 4.838
! Energy above the lowest structure with this stoichiometry: 2.376 eV per formula unit
! Uncorrected formation energy: 616 meV/atom
! N(E_F): 3.42 states/eV per cell

No. 19
! PBE SnSb3, optimized geometry; values from VASP
&SYSTEM
  ibrav = 0, nat = 4, ntyp = 2
/
ATOMIC_SPECIES
Sb 121.76 Sb.upf
Sn 118.71 Sn.upf
ATOMIC_POSITIONS crystal
Sb 0.749 0.749 0.498
Sb 0.500 0.500 0.000
Sn 0.000 0.000 0.000
Sb 0.251 0.251 0.502
CELL_PARAMETERS angstrom
-3.096 -3.125 0.041
3.095 -3.058 0.650
-0.607 3.773 5.752
! Energy above the lowest structure with this stoichiometry: 0.070 eV per formula unit
! Uncorrected formation energy: 31 meV/atom
! N(E_F): 2.31 states/eV per cell

No. 20
! PBE SrSnSb2, optimized geometry; values from VASP
&SYSTEM
  ibrav = 0, nat = 8, ntyp = 3
/
ATOMIC_SPECIES
Sr 87.62 Sr.upf
Sb 121.76 Sb.upf
Sn 118.71 Sn.upf
ATOMIC_POSITIONS crystal
Sr 0.500 0.500 0.000
Sb 0.875 0.927 0.750
Sn 0.000 0.000 0.000
Sn 0.750 0.250 0.500
Sb 0.677 0.125 0.250
Sr 0.250 0.750 0.500
Sb 0.375 0.323 0.750
Sb 0.073 0.625 0.250
CELL_PARAMETERS angstrom
-4.579 6.131 -2.407
-3.367 0.340 7.273
-0.640 6.275 3.834
! Uncorrected formation energy: -353 meV/atom
! N(E_F): 0.22 states/eV per cell

No. 21
! PBE SrSn3Sb3, optimized geometry; values from VASP
&SYSTEM
  ibrav = 0, nat = 14, ntyp = 3
/
ATOMIC_SPECIES
Sr 87.62 Sr.upf
Sb 121.76 Sb.upf
Sn 118.71 Sn.upf
ATOMIC_POSITIONS crystal
Sr 0.500 0.500 0.500
Sb 0.000 0.250 0.500
Sb 0.500 0.000 0.250
Sn 0.250 0.000 0.500
Sr 0.000 0.000 0.000
Sn 0.000 0.500 0.750
Sn 0.000 0.500 0.250
Sb 0.250 0.500 0.000
Sn 0.500 0.250 0.000
Sn 0.500 0.750 0.000
Sn 0.750 0.000 0.500
Sb 0.000 0.750 0.500
Sb 0.500 0.000 0.750
Sb 0.750 0.500 0.000
CELL_PARAMETERS angstrom
8.346 0.000 0.000
0.000 8.346 0.000
0.000 0.000 8.346
! Uncorrected formation energy: 93 meV/atom
! N(E_F): 9.05 states/eV per cell

No. 22
! PBE Sr2SnSb2, optimized geometry; values from VASP
&SYSTEM
  ibrav = 0, nat = 10, ntyp = 3
/
ATOMIC_SPECIES
Sn 118.71 Sn.upf
Sr 87.62 Sr.upf
Sb 121.76 Sb.upf
ATOMIC_POSITIONS crystal
Sn 0.000 0.000 0.000
Sr 0.175 0.675 0.500
Sr 0.325 0.175 0.500
Sr 0.675 0.825 0.500
Sb 0.127 0.373 0.000
Sb 0.627 0.127 0.000
Sn 0.500 0.500 0.000
Sr 0.825 0.325 0.500
Sb 0.873 0.627 0.000
Sb 0.373 0.873 0.000
CELL_PARAMETERS angstrom
-6.251 2.546 -4.903
0.505 -7.109 -4.336
-3.142 -2.025 2.955
! Energy above the lowest structure with this stoichiometry: 0.000 eV per formula unit
! Uncorrected formation energy: -708 meV/atom
! N(E_F): 5.88 states/eV per cell

No. 23
! PBE SrSnSb2, optimized geometry; values from VASP
&SYSTEM
  ibrav = 0, nat = 16, ntyp = 3
/
ATOMIC_SPECIES
Sn 118.71 Sn.upf
Sb 121.76 Sb.upf
Sr 87.62 Sr.upf
ATOMIC_POSITIONS crystal
Sn 0.120 0.872 0.881
Sb 0.221 0.047 0.665
Sb 0.696 0.961 0.915
Sb 0.304 0.461 0.415
Sr 0.273 0.534 0.123
Sn 0.880 0.128 0.119
Sb 0.304 0.039 0.085
Sb 0.696 0.539 0.585
Sb 0.779 0.547 0.165
Sr 0.727 0.034 0.623
Sb 0.221 0.453 0.835
Sr 0.273 0.966 0.377
Sn 0.880 0.372 0.381
Sr 0.727 0.466 0.877
Sn 0.120 0.628 0.619
Sb 0.779 0.953 0.335
CELL_PARAMETERS angstrom
6.835 0.000 0.000
0.000 6.863 0.211
0.000 -0.645 11.611
! Uncorrected formation energy: -422 meV/atom
! N(E_F): 4.06 states/eV per cell

No. 24
! PBE SrSnSb2, optimized geometry; values from VASP
&SYSTEM
  ibrav = 0, nat = 4, ntyp = 3
/
ATOMIC_SPECIES
Sb 121.76 Sb.upf
Sr 87.62 Sr.upf
Sn 118.71 Sn.upf
ATOMIC_POSITIONS crystal
Sb 0.262 0.262 0.215
Sr 0.500 0.500 0.500
Sb 0.738 0.738 0.785
Sn 0.000 0.000 0.000
CELL_PARAMETERS angstrom
4.353 0.000 0.000
2.176 3.770 0.000
2.176 1.257 8.129
! Uncorrected formation energy: -323 meV/atom
! N(E_F): 2.48 states/eV per cell

No. 25
! PBE Sr3SnSb3, optimized geometry; values from VASP
&SYSTEM
  ibrav = 0, nat = 14, ntyp = 3
/
ATOMIC_SPECIES
Sr 87.62 Sr.upf
Sb 121.76 Sb.upf
Sn 118.71 Sn.upf
ATOMIC_POSITIONS crystal
Sr 0.250 0.614 0.927
Sb 0.750 0.287 0.359
Sb 0.250 0.359 0.073
Sr 0.250 0.313 0.386
Sr 0.250 0.073 0.687
Sb 0.250 0.713 0.641
Sb 0.250 0.927 0.287
Sr 0.750 0.927 0.313
Sr 0.750 0.687 0.614
Sn 0.250 0.667 0.333
Sr 0.750 0.386 0.073
Sb 0.750 0.641 0.927
Sb 0.750 0.073 0.713
Sn 0.750 0.333 0.667
CELL_PARAMETERS angstrom
6.650 0.000 0.000
0.000 9.827 0.000
0.000 -4.913 8.510
! Energy above the lowest structure with this stoichiometry: 0.443 eV per formula unit
! Uncorrected formation energy: -683 meV/atom
! N(E_F): 8.53 states/eV per cell

No. 26
! PBE Sr5Sn2Sb, optimized geometry; values from VASP
&SYSTEM
  ibrav = 0, nat = 16, ntyp = 3
/
ATOMIC_SPECIES
Sn 118.71 Sn.upf
Sr 87.62 Sr.upf
Sb 121.76 Sb.upf
ATOMIC_POSITIONS crystal
Sn 0.623 0.123 0.000
Sr 0.685 0.185 0.710
Sr 0.475 0.315 0.290
Sr 0.025 0.525 0.710
Sr 0.315 0.815 0.290
Sr 0.815 0.975 0.290
Sr 0.000 0.000 0.000
Sr 0.185 0.025 0.710
Sr 0.500 0.500 0.000
Sb 0.250 0.250 0.500
Sn 0.123 0.377 0.000
Sr 0.525 0.685 0.710
Sn 0.377 0.877 0.000
Sb 0.750 0.750 0.500
Sn 0.877 0.623 0.000
Sr 0.975 0.475 0.290
CELL_PARAMETERS angstrom
-3.545 -7.864 0.532
1.581 -1.281 -8.399
8.116 1.479 5.748
! Uncorrected formation energy: -753 meV/atom
! N(E_F): 2.72 states/eV per cell